DFT (PBE) results for a relaxed Nb2FeGe2 crystal.

Geometry as extended XYZ:
```
10
Lattice="6.9529 0.0000 0.0000 0.0000 6.9529 0.0000 0.0000 0.0000 3.5823" Properties=species:S:1:pos:R:3 pbc="T T T"
Nb 4.5363 1.0598 0.0000
Nb 5.8930 4.5363 0.0000
Nb 2.4166 5.8930 0.0000
Nb 1.0598 2.4166 0.0000
Ge 2.4404 1.0360 1.7911
Ge 5.9168 2.4404 1.7911
Ge 4.5125 5.9168 1.7911
Ge 1.0360 4.5125 1.7911
Fe 0.0000 0.0000 0.0000
Fe 3.4764 3.4764 0.0000
```

Properties
ΔH_f (0 K): 0.14 eV/atom
total moment: 5.455 μB per cell